A geometry-optimized Mn3Se4 structure. Source: the Alexandria database, functional PBE.

a = 7.638 Å, b = 7.638 Å, c = 7.638 Å
α = 60.00°, β = 60.00°, γ = 60.00°
Element x y z (fractional)
1 Mn 0.500 0.000 0.500
2 Mn 0.000 0.500 0.500
3 Mn 0.500 0.500 0.000
4 Mn 0.500 0.500 0.500
5 Mn 0.875 0.875 0.875
6 Mn 0.125 0.125 0.125
7 Se 0.724 0.259 0.259
8 Se 0.741 0.741 0.276
9 Se 0.741 0.741 0.741
10 Se 0.259 0.259 0.724
11 Se 0.741 0.276 0.741
12 Se 0.259 0.259 0.259
13 Se 0.276 0.741 0.741
14 Se 0.259 0.724 0.259

symmetry	No. 227

A geometry-optimized MnSe5 structure. Source: the Alexandria database, functional PBE.

a = 5.678 Å, b = 5.678 Å, c = 5.678 Å
α = 60.00°, β = 60.00°, γ = 60.00°
Element x y z (fractional)
1 Mn 0.000 0.000 0.000
2 Se 0.250 0.250 0.250
3 Se 0.625 0.625 0.625
4 Se 0.625 0.625 0.125
5 Se 0.125 0.625 0.625
6 Se 0.625 0.125 0.625

symmetry	No. 216

A geometry-optimized Mn3Se5 structure. Source: the Alexandria database, functional PBE.

a = 7.670 Å, b = 7.670 Å, c = 7.775 Å
α = 101.75°, β = 101.75°, γ = 128.01°
Element x y z (fractional)
1 Mn 0.752 0.748 0.000
2 Mn 0.248 0.252 0.000
3 Mn 0.356 0.142 0.500
4 Mn 0.642 0.857 0.500
5 Mn 0.156 0.656 0.785
6 Mn 0.843 0.343 0.215
7 Se 0.247 0.748 0.496
8 Se 0.751 0.252 0.504
9 Se 0.803 0.084 0.898
10 Se 0.196 0.916 0.102
11 Se 0.707 0.605 0.282
12 Se 0.293 0.396 0.718
13 Se 0.584 0.304 0.898
14 Se 0.416 0.697 0.102
15 Se 0.104 0.207 0.282
16 Se 0.895 0.793 0.718

symmetry	No. 12

A geometry-optimized MnSe5 structure. Source: the Alexandria database, functional PBE.

a = 2.778 Å, b = 2.778 Å, c = 18.521 Å
α = 90.00°, β = 90.00°, γ = 90.00°
Element x y z (fractional)
1 Mn 0.500 0.500 0.000
2 Se 0.000 0.000 0.916
3 Se 0.000 0.000 0.084
4 Se 0.500 0.500 0.724
5 Se 0.500 0.500 0.276
6 Se 0.000 0.000 0.500

symmetry	No. 123

A geometry-optimized Mn4Se structure. Source: the Alexandria database, functional PBE.

a = 7.196 Å, b = 7.196 Å, c = 7.196 Å
α = 154.44°, β = 154.44°, γ = 36.46°
Element x y z (fractional)
1 Mn 0.750 0.250 0.500
2 Mn 0.250 0.750 0.500
3 Mn 0.606 0.606 0.000
4 Mn 0.394 0.394 0.000
5 Se 0.000 0.000 0.000

symmetry	No. 139

A geometry-optimized MnSe2 structure. Source: the Alexandria database, functional PBE.

a = 3.486 Å, b = 3.484 Å, c = 13.689 Å
α = 90.00°, β = 90.00°, γ = 120.02°
Element x y z (fractional)
1 Mn 0.500 0.000 0.500
2 Mn 0.000 0.000 0.000
3 Se 0.667 0.333 0.105
4 Se 0.833 0.667 0.605
5 Se 0.167 0.333 0.395
6 Se 0.333 0.667 0.895

symmetry	No. 64

A geometry-optimized Mn3Se2 structure. Source: the Alexandria database, functional PBE.

a = 8.661 Å, b = 8.661 Å, c = 8.661 Å
α = 23.57°, β = 23.57°, γ = 23.57°
Element x y z (fractional)
1 Mn 0.000 0.000 0.000
2 Mn 0.795 0.795 0.795
3 Mn 0.205 0.205 0.205
4 Se 0.399 0.399 0.399
5 Se 0.601 0.601 0.601

symmetry	No. 166

A geometry-optimized MnSe2 structure. Source: the Alexandria database, functional PBE.

a = 9.402 Å, b = 9.402 Å, c = 5.517 Å
α = 90.00°, β = 90.00°, γ = 159.27°
Element x y z (fractional)
1 Mn 0.100 0.900 0.250
2 Mn 0.900 0.100 0.750
3 Se 0.498 0.502 0.250
4 Se 0.502 0.498 0.750
5 Se 0.690 0.310 0.250
6 Se 0.310 0.690 0.750

symmetry	No. 63

Formation energy from raw total energies values (in kJ per mole of atoms) by entry order: -39.49 65.76 -14.53 14.96 33.68 -45.51 1.36 -14.91.